! Hf2UF11, optimized geometry, DFT PBE; values from VASP
! - Uncorrected energy: -0.54512 Ry per atom
&SYSTEM
  ibrav = 0, nat = 28, ntyp = 3
/
ATOMIC_SPECIES
F 19.00 F.upf
U 238.03 U.upf
Hf 178.49 Hf.upf
CELL_PARAMETERS angstrom
6.9179 0.0000 3.6058
3.1349 7.4810 2.4245
-0.0140 -0.0086 8.4659
ATOMIC_POSITIONS crystal
F 0.1326 0.0522 0.2052
F 0.3900 0.7948 0.9478
F 0.1100 0.5522 0.7052
F 0.7378 0.6769 0.0514
F 0.8900 0.4478 0.2948
F 0.4660 0.9486 0.3231
F 0.6309 0.2798 0.7202
F 0.0340 0.1769 0.5514
F 0.8691 0.7798 0.2202
F 0.6100 0.2052 0.0522
F 0.6326 0.7052 0.5522
F 0.1309 0.2202 0.7798
F 0.9660 0.8231 0.4486
F 0.8674 0.9478 0.7948
F 0.2622 0.3231 0.9486
F 0.5000 0.5000 0.5000
F 0.0000 0.0000 0.0000
F 0.2378 0.5514 0.1769
F 0.3691 0.7202 0.2798
F 0.5340 0.0514 0.6769
F 0.7622 0.4486 0.8231
F 0.3674 0.2948 0.4478
U 0.7500 0.7500 0.7500
U 0.2500 0.2500 0.2500
Hf 0.3677 0.3196 0.6804
Hf 0.6323 0.6804 0.3196
Hf 0.8677 0.1804 0.8196
Hf 0.1323 0.8196 0.1804